Below is an optimized crystal structure of La12Tb6Mg, with properties calculated at the PBE level.

a b c (Å): 13.4973 13.4973 12.8519
angles (deg): 90.00 90.00 120.00
Closest atoms and distances in Å follow each position.
Space group R-3m (No. 166, hexagonal axes)
One atom of each set of equivalent atoms:
La (0.0000, 0.2608, 0.0000) (multiplicity 18)  4 Tb 3.47-3.57, 6 La 3.52-3.69, 1 Mg 3.52
La (0.0565, 0.5283, 0.1101) (multiplicity 18)  1 La 3.12
Tb (0.0887, 0.1773, 0.7709) (multiplicity 18)  4 La 3.47-3.57, 2 Tb 3.59, 1 Mg 3.60
Mg (0.0000, 0.0000, 0.0000) (multiplicity 3)  6 La 3.52, 6 Tb 3.60

Computed properties:
Formation energy from the elements ... 0.12 eV per atom
Total moment ... 0.00 Bohr magnetons per cell
DOS at the Fermi energy ... 1.461 states/eV/atom